(a)
Compound: MnCu3Cl
Source: the Alexandria database
Functional: PBE
Structure: relaxed

Computed properties:
- Crystal system: cubic

Cell lengths 4.478, 4.478, 4.478 Å; angles 90.00, 90.00, 90.00 degrees
Space group Pm-3m (No. 221)
One atom of each set of equivalent atoms:
Mn1 0.000 0.000 0.000 (multiplicity 1)
Cu1 0.000 0.500 0.500 (multiplicity 3)
Cl1 0.500 0.500 0.500 (multiplicity 1)

***

(b)
Compound: MnCu3Cl
Source: the Alexandria database
Functional: PBE
Structure: relaxed

Computed properties:
- Crystal system: cubic

Cell lengths 4.672, 4.672, 4.672 Å; angles 90.00, 90.00, 90.00 degrees
Space group Pm-3m (No. 221)
One atom of each set of equivalent atoms:
Mn1 0.000 0.000 0.000 (multiplicity 1)
Cu1 0.000 0.000 0.500 (multiplicity 3)
Cl1 0.500 0.500 0.500 (multiplicity 1)

***

Least stable structure: (b)

***

(a)
Compound: Mn2CuCl6
Source: the Alexandria database
Functional: PBE
Structure: relaxed

Computed properties:
- Crystal system: monoclinic

Cell lengths 13.533, 13.370, 6.521 Å; angles 90.00, 115.73, 90.00 degrees
Space group C2/c (No. 15)
One atom of each set of equivalent atoms:
Mn1 0.213 0.090 0.339 (multiplicity 8)
Cu1 0.000 0.303 0.250 (multiplicity 4)
Cl1 0.106 0.386 0.580 (multiplicity 8)
Cl2 0.120 0.228 0.138 (multiplicity 8)
Cl3 0.158 0.062 0.634 (multiplicity 8)

***

(b)
Compound: Mn2CuCl6
Source: the Alexandria database
Functional: PBE
Structure: relaxed

Computed properties:
- Crystal system: monoclinic

Cell lengths 11.696, 14.717, 6.615 Å; angles 90.00, 120.21, 90.00 degrees
Space group C2/c (No. 15)
One atom of each set of equivalent atoms:
Mn1 0.139 0.090 0.058 (multiplicity 8)
Cu1 0.000 0.323 0.750 (multiplicity 4)
Cl1 0.109 0.242 0.092 (multiplicity 8)
Cl2 0.117 0.069 0.665 (multiplicity 8)
Cl3 0.137 0.416 0.691 (multiplicity 8)

***

Least stable structure: (b)

***

(a)
Compound: MnCuPCl2
Source: the Alexandria database
Functional: PBE
Structure: relaxed

Computed properties:
- Crystal system: tetragonal

Cell lengths 4.561, 4.561, 4.935 Å; angles 90.00, 90.00, 90.00 degrees
Space group P4/mmm (No. 123)
One atom of each set of equivalent atoms:
Mn1 0.000 0.000 0.000 (multiplicity 1)
Cu1 0.500 0.500 0.500 (multiplicity 1)
P1 0.500 0.500 0.000 (multiplicity 1)
Cl1 0.000 0.500 0.500 (multiplicity 2)

***

(b)
Compound: MnCuPCl2
Source: the Alexandria database
Functional: PBE
Structure: relaxed

Computed properties:
- Crystal system: tetragonal

Cell lengths 4.628, 4.628, 4.869 Å; angles 90.00, 90.00, 90.00 degrees
Space group P4/mmm (No. 123)
One atom of each set of equivalent atoms:
Mn1 0.000 0.000 0.000 (multiplicity 1)
Cu1 0.500 0.500 0.500 (multiplicity 1)
P1 0.000 0.000 0.500 (multiplicity 1)
Cl1 0.000 0.500 0.000 (multiplicity 2)

***

Least stable structure: (a)

***

(a)
Compound: MnCuP2Cl
Source: the Alexandria database
Functional: PBE
Structure: relaxed

Computed properties:
- Crystal system: tetragonal

Cell lengths 4.238, 4.238, 5.106 Å; angles 90.00, 90.00, 90.00 degrees
Space group P4/mmm (No. 123)
One atom of each set of equivalent atoms:
Mn1 0.000 0.000 0.000 (multiplicity 1)
Cu1 0.500 0.500 0.500 (multiplicity 1)
P1 0.000 0.500 0.000 (multiplicity 2)
Cl1 0.000 0.000 0.500 (multiplicity 1)

***

(b)
Compound: MnCuP2Cl
Source: the Alexandria database
Functional: PBE
Structure: relaxed

Computed properties:
- Crystal system: tetragonal

Cell lengths 4.369, 4.369, 4.990 Å; angles 90.00, 90.00, 90.00 degrees
Space group P4/mmm (No. 123)
One atom of each set of equivalent atoms:
Mn1 0.000 0.000 0.000 (multiplicity 1)
Cu1 0.500 0.500 0.500 (multiplicity 1)
P1 0.000 0.500 0.500 (multiplicity 2)
Cl1 0.500 0.500 0.000 (multiplicity 1)

***

Least stable structure: (b)